Entry 1:
Density functional theory data (PBE) for a relaxed structure of Mn2NiRu.

Its final energy is -8.29 eV/atom. Its density of states at the Fermi level is 10.06 states/eV per cell. For the total moment, the calculation gives 0.54 μB/cell.

It has space group Cm (No. 8), with a = 8.574 Å, b = 2.687 Å, c = 4.427 Å, α = 90.00°, β = 101.56° and γ = 90.00°. The distinct sites, in fractional coordinates, are Mn at (0.000, 0.000, 0.000), Mn at (0.249, 0.500, 0.259), Ni at (0.499, 0.000, 0.496) and Ru at (0.251, 0.000, 0.753).

***

Entry 2:
Density functional theory data (PBE) for a relaxed structure of LiNbAl2Re.

Its final energy is -5.39 eV/atom. Its density of states at the Fermi level is 3.67 states/eV per cell. For the total moment, the calculation gives 0.00 μB/cell.

It has space group P4/mmm (No. 123), with a = 4.622 Å, b = 4.622 Å, c = 4.433 Å, α = 90.00°, β = 90.00° and γ = 90.00°. The distinct sites, in fractional coordinates, are Li at (0.000, 0.000, 0.000), Nb at (0.500, 0.500, 0.000), Al at (0.000, 0.500, 0.500) and Re at (0.000, 0.000, 0.500).

***

Entry 3:
Density functional theory data (PBE) for a relaxed structure of Ta7B8Ru6.

Its final energy is -9.80 eV/atom. Its density of states at the Fermi level is 10.01 states/eV per cell. For the total moment, the calculation gives 0.00 μB/cell.

It has space group P6/m (No. 175), with a = 9.5727 Å, b = 9.5727 Å, c = 3.1339 Å, α = 90.00°, β = 90.00° and γ = 120.00°. The distinct sites, in fractional coordinates, are Ta at (0.0000, 0.0000, 0.0000), Ta at (0.0865, 0.7248, 0.0000), B at (0.0649, 0.2183, 0.5000), B at (0.3333, 0.6667, 0.0000) and Ru at (0.1538, 0.5137, 0.5000).

***

Entry 4:
Density functional theory data (PBE) for a relaxed structure of ZrCu2Mo.

Its final energy is -6.78 eV/atom. The calculation puts the energy above the lowest structure with this stoichiometry at 23 meV/atom. Its density of states at the Fermi level is 8.31 states/eV per cell. For the total moment, the calculation gives 0.00 μB/cell.

It has space group Immm (No. 71), with a = 3.966 Å, b = 3.985 Å, c = 7.854 Å, α = 90.00°, β = 90.00° and γ = 90.00°. The distinct sites, in fractional coordinates, are Zr at (0.000, 0.000, 0.000), Cu at (0.000, 0.500, 0.250) and Mo at (0.000, 0.000, 0.500).

***

| no. | formation energy (eV per atom) |
| --- | --- |
| 1 | 0.054 |
| 2 | 0.996 |
| 3 | -0.656 |
| 4 | 0.110 |